Below is a relaxed CaEu2Hg crystal, with properties calculated at the PBE-GGA level.

Structure (POSCAR):
```
CaEu2Hg
1.0
5.762 0.000 0.000
2.881 4.990 0.000
2.881 1.663 4.705
Eu Ca Hg
2 1 1
direct
0.250 0.250 0.250
0.750 0.750 0.750
0.500 0.500 0.500
0.000 0.000 0.000
```

Crystal system ... cubic
Volume ... 135 Å³/cell
Total energy ... -23.40 eV/cell